Entry 1:
Rb2VP2O8 | the Alexandria database | meta-GGA SCAN | PBEsol geometry; space-group type = No. 62; formation energy without anion corrections = -2.571 eV/atom
1.0
7.2088 0.0000 0.0000
0.0000 9.5685 0.0000
0.0000 0.0000 12.3971
O P V Rb
32 8 4 8
Direct
0.2500 0.9728 0.9128 O
0.7500 0.0272 0.0872 O
0.9321 0.8231 0.2241 O
0.0609 0.9180 0.7151 O
0.0148 0.2964 0.9608 O
0.2500 0.7950 0.1591 O
0.4391 0.9180 0.7151 O
0.5148 0.7964 0.5392 O
0.7500 0.2950 0.3409 O
0.0609 0.5820 0.2151 O
0.7500 0.2050 0.8409 O
0.5609 0.0820 0.2849 O
0.4321 0.1769 0.7759 O
0.5609 0.4180 0.7849 O
0.9852 0.7036 0.0392 O
0.4852 0.2036 0.4608 O
0.0679 0.1769 0.7759 O
0.9391 0.4180 0.7849 O
0.7500 0.4728 0.5872 O
0.4321 0.3231 0.2759 O
0.5148 0.7036 0.0392 O
0.9321 0.6769 0.7241 O
0.4391 0.5820 0.2151 O
0.9391 0.0820 0.2849 O
0.5679 0.6769 0.7241 O
0.4852 0.2964 0.9608 O
0.0679 0.3231 0.2759 O
0.0148 0.2036 0.4608 O
0.2500 0.7050 0.6591 O
0.9852 0.7964 0.5392 O
0.2500 0.5272 0.4128 O
0.5679 0.8231 0.2241 O
0.4545 0.7775 0.6537 P
0.4545 0.7225 0.1537 P
0.5455 0.2775 0.8463 P
0.0455 0.7225 0.1537 P
0.9545 0.2225 0.3463 P
0.0455 0.7775 0.6537 P
0.9545 0.2775 0.8463 P
0.5455 0.2225 0.3463 P
0.2500 0.0262 0.7902 V
0.2500 0.4738 0.2902 V
0.7500 0.9738 0.2098 V
0.7500 0.5262 0.7098 V
0.7500 0.0786 0.6039 Rb
0.2500 0.5786 0.8961 Rb
0.7500 0.8607 0.9014 Rb
0.7500 0.6393 0.4014 Rb
0.2500 0.1393 0.0986 Rb
0.7500 0.4214 0.1039 Rb
0.2500 0.3607 0.5986 Rb
0.2500 0.9214 0.3961 Rb


Entry 2:
RbVP2O8 | the Alexandria database | meta-GGA SCAN | PBEsol geometry; space-group type = No. 14; formation energy without anion corrections = -2.451 eV/atom
1.0
0.0177 0.1811 5.0654
-1.0666 -8.5173 0.3083
14.1542 -1.7924 -0.5512
O P V Rb
32 8 4 4
Direct
0.4482 0.6308 0.7975 O
0.7252 0.8798 0.4554 O
0.4813 0.8658 0.6064 O
0.2489 0.7943 0.9276 O
0.4482 0.8692 0.2975 O
0.7812 0.6491 0.5629 O
0.7413 0.1036 0.2367 O
0.7413 0.3964 0.7367 O
0.2748 0.3798 0.0446 O
0.2587 0.6036 0.2633 O
0.5518 0.1308 0.7025 O
0.2188 0.3509 0.4371 O
0.7511 0.2943 0.5724 O
0.2188 0.1491 0.9371 O
0.5518 0.3692 0.2025 O
0.0366 0.4143 0.8889 O
0.2587 0.8964 0.7633 O
0.7812 0.8509 0.0629 O
0.0407 0.1737 0.7054 O
0.9593 0.6737 0.7946 O
0.9634 0.9143 0.6111 O
0.7252 0.6202 0.9554 O
0.4813 0.6342 0.1064 O
0.0407 0.3263 0.2054 O
0.9634 0.5857 0.1111 O
0.7511 0.2057 0.0724 O
0.2489 0.7057 0.4276 O
0.5187 0.3658 0.8936 O
0.5187 0.1342 0.3936 O
0.0366 0.0857 0.3889 O
0.2748 0.1202 0.5446 O
0.9593 0.8263 0.2946 O
0.2287 0.7513 0.3271 P
0.7398 0.8205 0.5589 P
0.2602 0.1795 0.4411 P
0.2287 0.7487 0.8271 P
0.2602 0.3205 0.9411 P
0.7713 0.2513 0.1729 P
0.7713 0.2487 0.6729 P
0.7398 0.6795 0.0589 P
0.7399 0.9833 0.3446 V
0.2601 0.4833 0.1554 V
0.7399 0.5167 0.8446 V
0.2601 0.0167 0.6554 V
0.7284 0.0219 0.8961 Rb
0.2716 0.9781 0.1039 Rb
0.2716 0.5219 0.6039 Rb
0.7284 0.4781 0.3961 Rb


Entry 3:
RbP2WO | the Alexandria database | meta-GGA SCAN | PBEsol geometry; space-group type = No. 123; formation energy without anion corrections = -0.414 eV/atom
1.0
3.9157 0.0000 0.0000
0.0000 4.8735 0.0000
0.0000 0.0000 4.8735
Rb P O W
1 2 1 1
Direct
0.5000 0.5000 0.5000 Rb
0.0000 0.5000 0.0000 P
0.0000 0.0000 0.5000 P
0.5000 0.0000 0.0000 O
0.0000 0.0000 0.0000 W